## K2TlIBr4 (PBE-GGA)

Data for a relaxed K2TlIBr4 crystal.

For the total energy, the calculation gives -42.5 eV/cell. The value obtained for the formation energy (no corrections) is -1054 meV/atom.

Geometry as POSCAR:
```
K2TlIBr4
1.0
-8.359 -1.154 -4.927
6.192 -3.857 -6.501
0.148 -4.071 8.363
Br I K Tl
8 2 4 2
Cartesian
3.154 -5.271 -2.023
-0.413 -4.809 5.782
-5.173 -3.811 -1.043
-1.606 -4.273 -8.848
2.184 -7.112 2.272
-0.725 -3.751 1.078
-4.202 -1.970 -5.337
-1.294 -5.331 -4.143
-1.009 -4.541 -1.533
-8.211 -5.225 3.435
-1.083 -2.506 -5.714
-4.179 -0.577 -2.464
-4.105 -2.612 1.718
0.074 -2.035 4.181
-5.189 -5.118 -3.997
3.096 -1.929 -3.251
```